1.
The following is a DFT calculation (PBE-GGA) of a relaxed structure of ZnCd.

Results
Energy of formation from the pure elements in eV per atom: 0.068
Calculated total energy in eV/atom: -1.01

a b c (Å): 4.918 6.008 4.954
angles (deg): 90.00 90.00 90.00
Element x y z (fractional)
Zn 0.829 0.234 0.500
Zn 0.329 0.016 0.500
Cd 0.988 0.484 0.000
Zn 0.504 0.234 0.000
Cd 0.845 0.766 0.500
Cd 0.345 0.484 0.500
Zn 0.004 0.016 0.000
Cd 0.488 0.766 0.000



2.
The following is a DFT calculation (PBE-GGA) of a relaxed structure of Sr2CdO3.

Results
Calculated total energy in eV/atom: -5.34
Distance to the lowest polymorph of the same formula in eV/f.u.: 0.000

a b c (Å): 3.566 3.566 8.463
angles (deg): 90.00 90.00 120.00
Element x y z (fractional)
Sr 0.333 0.667 0.678
O 0.000 0.000 0.500
Sr 0.667 0.333 0.322
O 0.333 0.667 0.153
Cd 0.000 0.000 0.000
O 0.667 0.333 0.847



3.
The following is a DFT calculation (PBE-GGA) of a relaxed structure of LiNi3H.

Results
Size of the total moment in Bohr magnetons per cell: 0.51
Calculated total energy in eV/atom: -4.48

a b c (Å): 4.400 2.492 4.405
angles (deg): 90.00 110.51 90.00
Element x y z (fractional)
Ni 0.037 0.000 0.001
Ni 0.550 0.500 0.994
H 0.313 0.500 0.236
Ni 0.543 0.000 0.508
Li 0.036 0.500 0.508



4.
The following is a DFT calculation (PBE-GGA) of a relaxed structure of Cu5Ag4.

Results
Energy of formation from the pure elements in eV per atom: 0.089
Calculated total energy in eV/atom: -3.23
Distance to the lowest polymorph of the same formula in eV/f.u.: 0.434

a b c (Å): 5.889 5.889 8.526
angles (deg): 104.60 104.60 27.46
Element x y z (fractional)
Cu 0.006 0.006 0.981
Cu 0.994 0.994 0.674
Ag 0.671 0.671 0.574
Ag 0.989 0.989 0.341
Ag 0.669 0.669 0.223
Ag 0.333 0.333 0.082
Cu 0.336 0.336 0.468
Cu 0.346 0.346 0.780
Cu 0.656 0.656 0.877



Q: What is the calculated total energy in the second record?
A: -5.34 eV/atom



Please write out number 4 again, unchanged.
The following is a DFT calculation (PBE-GGA) of a relaxed structure of Cu5Ag4.

Results
Energy of formation from the pure elements in eV per atom: 0.089
Calculated total energy in eV/atom: -3.23
Distance to the lowest polymorph of the same formula in eV/f.u.: 0.434

a b c (Å): 5.889 5.889 8.526
angles (deg): 104.60 104.60 27.46
Element x y z (fractional)
Cu 0.006 0.006 0.981
Cu 0.994 0.994 0.674
Ag 0.671 0.671 0.574
Ag 0.989 0.989 0.341
Ag 0.669 0.669 0.223
Ag 0.333 0.333 0.082
Cu 0.336 0.336 0.468
Cu 0.346 0.346 0.780
Cu 0.656 0.656 0.877



Q: Look up the calculated total energy of the third one.
A: -4.48 eV/atom